Density functional theory data (PBE) for crystalline Ho2ErCd at its relaxed geometry.

a = 3.5539 Å, b = 3.5539 Å, c = 9.0207 Å
α = 90.00°, β = 90.00°, γ = 90.00°
Space group P4/mmm (No. 123)
Unique sites:
Ho (0.0000, 0.0000, 0.2297) (multiplicity 2)
Er (0.5000, 0.5000, 0.5000) (multiplicity 1)
Cd (0.5000, 0.5000, 0.0000) (multiplicity 1)

Calculated values
- ΔH_f (0 K) (meV/atom) = -142
- spin magnetization (μB/f.u.) = 0.0